A plane-wave DFT calculation with PBE was carried out for an optimized crystal structure of Sm4H2N3.

As for the calculated total energy: -6.709 eV per atom. The calculation puts the calculated volume at 153.7 Å³ per cell.

a b c (Å): 6.2612 6.2612 9.1766
angles (deg): 126.34 126.34 32.93
Last column: nearest neighbours and their distance in Å.
Element x y z (fractional)
Sm 0.0878 0.0878 0.3905  1 H 2.37, 5 N 2.39-2.56
Sm 0.2579 0.2579 0.2019  3 N 2.37-2.47, 3 H 2.38-2.44
Sm 0.7421 0.7421 0.7981  3 N 2.37-2.47, 3 H 2.38-2.44
Sm 0.9122 0.9122 0.6095  1 H 2.37, 5 N 2.39-2.56
H 0.1513 0.1513 0.8812  4 Sm 2.37-2.44
H 0.8487 0.8487 0.1188  4 Sm 2.37-2.44
N 0.3089 0.3089 0.6953  5 Sm 2.37-2.55
N 0.5000 0.5000 0.5000  6 Sm 2.47-2.56
N 0.6911 0.6911 0.3047  5 Sm 2.37-2.55